1.
An optimized crystal structure of KIn3W, computed with GGA-PBE.

The structure in POSCAR format:
```
KIn3W
1.0
5.7831 0.0000 0.0000
0.0000 5.7831 0.0000
0.0000 0.0000 5.7831
K W In
1 1 3
direct
0.0000 0.0000 0.0000
0.5000 0.5000 0.5000
0.0000 0.5000 0.0000
0.0000 0.0000 0.5000
0.5000 0.0000 0.0000
```

The excess energy over the best structure of this formula in the dataset is 1720 meV/atom. As for the space group: Pm-3m (221). Its density is 4.87 g/cm3.

2.
An optimized crystal structure of Lu2TiCd, computed with GGA-PBE.

The structure in POSCAR format:
```
Lu2TiCd
1.0
5.1462 0.0000 0.0000
2.5731 4.4567 0.0000
2.5731 1.4856 4.2018
Lu Ti Cd
2 1 1
direct
0.7500 0.7500 0.7500
0.2500 0.2500 0.2500
0.0000 0.0000 0.0000
0.5000 0.5000 0.5000
```

The excess energy over the best structure of this formula in the dataset is 119 meV/atom. As for the space group: Fm-3m (225). Its density is 8.79 g/cm3.

3.
An optimized crystal structure of MnTlNi2, computed with GGA-PBE.

The structure in POSCAR format:
```
MnTlNi2
1.0
-0.6665 -0.7428 2.9499
1.5344 -2.6966 -0.3324
5.0722 2.6622 1.8163
Tl Ni Mn
1 2 1
direct
0.5000 0.5000 0.2500
0.0000 0.0000 0.9649
0.0000 0.0000 0.5351
0.5000 0.5000 0.7500
```

The excess energy over the best structure of this formula in the dataset is 7 meV/atom. As for the space group: P4/mmm (123). Its density is 10.71 g/cm3.

4.
An optimized crystal structure of KSr2P, computed with GGA-PBE.

The structure in POSCAR format:
```
KSr2P
1.0
5.2978 0.0005 -0.0015
-0.0010 5.2978 -0.0015
0.0059 0.0059 4.8192
Sr K P
2 1 1
direct
0.5000 0.5000 0.0000
0.0000 0.0000 0.0000
0.5000 0.0000 0.5000
0.0000 0.5000 0.5000
```

As for the space group: P4/mmm (123). The value obtained for the total DFT energy (no corrections) is -2.658 eV/atom. Its density is 3.01 g/cm3.

5.
An optimized crystal structure of NbGaMo, computed with GGA-PBE.

The structure in POSCAR format:
```
NbGaMo
1.0
-2.7340 1.8203 -0.8290
-0.1801 -1.6223 -2.9684
-1.0831 -3.0977 3.6917
Mo Ga Nb
1 1 1
direct
0.6147 0.6147 0.2294
0.2807 0.2807 0.5613
0.9547 0.9547 0.9093
```

The excess energy over the best structure of this formula in the dataset is 0 meV/atom. As for the space group: I4mm (107). Its density is 8.66 g/cm3.

6.
An optimized crystal structure of Sc2Zn5PdRu2, computed with GGA-PBE.

The structure in POSCAR format:
```
Sc2Zn5PdRu2
1.0
4.0850 0.0000 0.0000
0.0000 8.9285 0.0000
0.0000 0.0000 8.9285
Zn Sc Ru Pd
10 4 4 2
direct
0.5000 0.5636 0.6995
0.5000 0.0000 0.5000
0.5000 0.9364 0.1995
0.5000 0.0636 0.8005
0.5000 0.1995 0.0636
0.5000 0.4364 0.3005
0.5000 0.3005 0.5636
0.5000 0.6995 0.4364
0.5000 0.8005 0.9364
0.5000 0.5000 0.0000
0.0000 0.8293 0.6707
0.0000 0.6707 0.1707
0.0000 0.1707 0.3293
0.0000 0.3293 0.8293
0.0000 0.1275 0.6275
0.0000 0.3725 0.1275
0.0000 0.8725 0.3725
0.0000 0.6275 0.8725
0.0000 0.5000 0.5000
0.0000 0.0000 0.0000
```

As for the space group: P4/mbm (127). The value obtained for the total DFT energy (no corrections) is -4.588 eV/atom. Its density is 7.40 g/cm3.

7.
An optimized crystal structure of Nd4TlIn, computed with GGA-PBE.

The structure in POSCAR format:
```
Nd4TlIn
1.0
3.6181 0.0000 0.0000
0.0000 9.4070 0.0200
0.0000 -0.0115 5.8068
In Tl Nd
1 1 4
direct
0.5000 0.5000 0.5000
0.0000 0.0000 0.0000
0.0000 0.2011 0.5002
0.5000 0.6982 0.9998
0.0000 0.7989 0.4998
0.5000 0.3018 0.0002
```

The excess energy over the best structure of this formula in the dataset is 244 meV/atom. As for the space group: Pmmm (47). Its density is 7.53 g/cm3.

8.
An optimized crystal structure of TaCu2H, computed with GGA-PBE.

The structure in POSCAR format:
```
TaCu2H
1.0
2.3201 -3.1747 1.3752
0.7364 -0.4285 4.0776
-1.7776 -3.1130 2.1217
Ta Cu H
1 2 1
direct
0.5000 0.5000 0.5000
0.7500 0.7500 0.7500
0.2500 0.2500 0.2500
0.0000 0.0000 0.0000
```

The excess energy over the best structure of this formula in the dataset is 495 meV/atom. As for the space group: Fm-3m (225). Its density is 10.04 g/cm3.

9.
An optimized crystal structure of Re2AgW, computed with GGA-PBE.

The structure in POSCAR format:
```
Re2AgW
1.0
2.7090 -0.0175 0.0000
-0.9790 2.5260 0.0000
0.0000 0.0000 9.4242
Re W Ag
2 1 1
direct
0.5000 0.5000 0.2489
0.0000 0.0000 0.0154
0.0000 0.0000 0.4855
0.5000 0.5000 0.7503
```

The excess energy over the best structure of this formula in the dataset is 138 meV/atom. As for the space group: Cmm2 (35). Its density is 17.14 g/cm3.

10.
An optimized crystal structure of TaRu2O2, computed with GGA-PBE.

The structure in POSCAR format:
```
TaRu2O2
1.0
4.4781 0.0000 0.0000
0.0000 4.4781 0.0000
2.2390 2.2390 3.3205
Ru O Ta
2 2 1
direct
0.2500 0.7500 0.5000
0.7500 0.2500 0.5000
0.7018 0.7018 0.5964
0.2982 0.2982 0.4036
0.0000 0.0000 0.0000
```

The excess energy over the best structure of this formula in the dataset is 872 meV/atom. As for the space group: I4/mmm (139). Its density is 10.35 g/cm3.

11.
An optimized crystal structure of PmSmOsAu, computed with GGA-PBE.

The structure in POSCAR format:
```
PmSmOsAu
1.0
-3.9182 3.1600 -0.5159
-3.2460 -0.5996 -3.8351
-4.7038 -1.6344 0.8986
Sm Au Os Pm
1 1 1 1
direct
0.2500 0.2500 0.2500
0.0000 0.0000 0.0000
0.5000 0.5000 0.5000
0.7500 0.7500 0.7500
```

As for the space group: F-43m (216). The value obtained for the total DFT energy (no corrections) is -6.339 eV/atom. Its density is 12.37 g/cm3.

12.
An optimized crystal structure of SiTeO2F, computed with GGA-PBE.

The structure in POSCAR format:
```
SiTeO2F
1.0
3.3925 0.0000 0.0000
0.0000 3.3925 0.0000
0.0000 0.0000 7.6496
F Te O Si
1 1 2 1
direct
0.0000 0.0000 0.5000
0.5000 0.5000 0.5000
0.5000 0.0000 0.0000
0.0000 0.5000 0.0000
0.0000 0.0000 0.0000
```

As for the space group: P4/mmm (123). The value obtained for the total DFT energy (no corrections) is -5.228 eV/atom. Its density is 3.90 g/cm3.

13.
An optimized crystal structure of TlSn3B, computed with GGA-PBE.

The structure in POSCAR format:
```
TlSn3B
1.0
-1.2965 4.0499 3.8552
-4.4250 1.6761 -3.2489
-3.4181 -3.7059 2.7437
B Sn Tl
1 3 1
direct
0.5000 0.5000 0.5000
0.0000 0.5000 0.0000
0.0000 0.0000 0.5000
0.5000 0.0000 0.0000
0.0000 0.0000 0.0000
```

The excess energy over the best structure of this formula in the dataset is 1124 meV/atom. As for the space group: Pm-3m (221). Its density is 5.02 g/cm3.

14.
An optimized crystal structure of CoRh2Cl, computed with GGA-PBE.

The structure in POSCAR format:
```
CoRh2Cl
1.0
-2.4838 1.5111 -0.4315
-0.9597 -2.0976 -1.8215
-2.9050 -3.2645 5.2900
Rh Cl Co
2 1 1
direct
0.0000 0.0000 0.5309
0.0000 0.0000 0.9691
0.5000 0.5000 0.2500
0.5000 0.5000 0.7500
```

The excess energy over the best structure of this formula in the dataset is 93 meV/atom. As for the space group: P4/mmm (123). Its density is 8.41 g/cm3.

15.
An optimized crystal structure of PuCdPt2, computed with GGA-PBE.

The structure in POSCAR format:
```
PuCdPt2
1.0
3.0139 0.0000 0.0000
0.0000 5.1092 0.0000
0.0000 0.0000 5.1092
Cd Pt Pu
1 2 1
direct
0.5000 0.0000 0.0000
0.0000 0.5000 0.0000
0.0000 0.0000 0.5000
0.5000 0.5000 0.5000
```

As for the space group: P4/mmm (123). The value obtained for the total DFT energy (no corrections) is -7.333 eV/atom. Its density is 15.76 g/cm3.

16.
An optimized crystal structure of CsTaSe3, computed with GGA-PBE.

The structure in POSCAR format:
```
CsTaSe3
1.0
-6.1420 -0.2801 4.7829
0.8926 -5.4283 -5.5149
3.2392 -3.4859 3.9555
Se Cs Ta
6 2 2
direct
0.8435 0.6871 0.2486
0.1565 0.3129 0.7486
0.6871 0.8435 0.7486
0.3129 0.1565 0.2486
0.8435 0.1565 0.2486
0.1565 0.8435 0.7486
0.3333 0.6667 0.2533
0.6667 0.3333 0.7533
0.0000 0.0000 0.9564
0.0000 0.0000 0.4564
```

The excess energy over the best structure of this formula in the dataset is 8 meV/atom. As for the space group: P6_3mc (186). Its density is 5.62 g/cm3.

17.
An optimized crystal structure of ErAs2Au, computed with GGA-PBE.

The structure in POSCAR format:
```
ErAs2Au
1.0
3.8357 0.0000 0.0000
0.0000 4.5598 0.0000
0.0000 0.0000 4.5598
As Er Au
2 1 1
direct
0.0000 0.5000 0.0000
0.0000 0.0000 0.5000
0.5000 0.5000 0.5000
0.5000 0.0000 0.0000
```

As for the space group: P4/mmm (123). The value obtained for the total DFT energy (no corrections) is -4.894 eV/atom. Its density is 10.70 g/cm3.

18.
An optimized crystal structure of LuNi2Ir, computed with GGA-PBE.

The structure in POSCAR format:
```
LuNi2Ir
1.0
-0.2276 3.3058 -1.7685
-3.6774 -0.8590 -1.1324
-1.4011 1.6628 3.2887
Ni Ir Lu
2 1 1
direct
0.0000 0.5000 0.0000
0.0000 0.0000 0.5000
0.5000 0.5000 0.5000
0.5000 0.0000 0.0000
```

The excess energy over the best structure of this formula in the dataset is 0 meV/atom. As for the space group: P4/mmm (123). Its density is 13.78 g/cm3.

19.
An optimized crystal structure of MgZrTl2W, computed with GGA-PBE.

The structure in POSCAR format:
```
MgZrTl2W
1.0
-0.4014 -0.1529 -5.2346
4.8843 -1.1843 -0.3400
-1.2203 -5.1027 0.2426
Mg Tl Zr W
1 2 1 1
direct
0.0000 0.5000 0.0000
0.5000 0.0000 0.0000
0.0000 0.0000 0.5000
0.5000 0.5000 0.5000
0.0000 0.0000 0.0000
```

As for the space group: P4/mmm (123). The value obtained for the total DFT energy (no corrections) is -4.312 eV/atom. Its density is 8.46 g/cm3.

20.
An optimized crystal structure of PmPdAu3, computed with GGA-PBE.

The structure in POSCAR format:
```
PmPdAu3
1.0
5.4336 -1.1726 -0.6041
-1.7958 5.2220 -0.6602
0.2037 0.3003 8.0201
Au Pm Pd
6 2 2
direct
0.6619 0.4087 0.6262
0.2410 0.9887 0.9768
0.7590 0.0113 0.0232
0.8471 0.0999 0.3820
0.3381 0.5913 0.3738
0.1529 0.9001 0.6180
0.7992 0.5521 0.2078
0.2008 0.4479 0.7922
0.6703 0.9190 0.6828
0.3297 0.0810 0.3172
```

The excess energy over the best structure of this formula in the dataset is 0 meV/atom. As for the space group: P-1 (2). Its density is 13.14 g/cm3.